VASP calculation (PBE-GGA) on an optimized crystal structure of V2PbSe.

Cell lengths 4.6046, 4.6046, 4.6046 Å; angles 60.00, 60.00, 60.00 degrees
With the nearest neighbours (Å) after each atom.
Element x y z (fractional)
Pb 0.5000 0.5000 0.5000  8 V 2.82
Se 0.0000 0.0000 0.0000  8 V 2.82
V 0.7500 0.7500 0.7500  4 Pb 2.82, 4 Se 2.82
V 0.2500 0.2500 0.2500  4 Pb 2.82, 4 Se 2.82

Output
SG   Fm-3m (225)
E above lowest polymorph   15 kJ/mol of formula units
Total DFT energy (no corrections)   -5.98 eV/atom

VASP calculation (PBE-GGA) on an optimized crystal structure of TlAgMo2.

Cell lengths 2.8237, 2.8237, 9.1541 Å; angles 90.00, 90.00, 100.27 degrees
With the nearest neighbours (Å) after each atom.
Element x y z (fractional)
Tl 0.5000 0.5000 0.2500  4 Tl 2.82, 4 Mo 2.97
Mo 0.0000 0.0000 0.9930  4 Mo 2.82, 4 Ag 2.87-3.11, 2 Tl 2.97
Mo 0.0000 0.0000 0.5070  4 Mo 2.82, 4 Ag 2.87-3.11, 2 Tl 2.97
Ag 0.5000 0.5000 0.7500  4 Ag 2.82, 8 Mo 2.87-3.11

Output
SG   Cmmm (65)
E above lowest polymorph   127 kJ/mol of formula units
Total DFT energy (no corrections)   -5.95 eV/atom

VASP calculation (PBE-GGA) on an optimized crystal structure of TaFe2N2.

Cell lengths 6.3921, 6.3921, 2.9512 Å; angles 90.00, 90.00, 90.00 degrees
With the nearest neighbours (Å) after each atom.
Element x y z (fractional)
N 0.2200 0.2800 0.5000  2 Fe 1.74
N 0.2800 0.7800 0.5000  2 Fe 1.74
N 0.7200 0.2200 0.5000  2 Fe 1.74
N 0.7800 0.7200 0.5000  2 Fe 1.74
Ta 0.5000 0.5000 0.0000  4 Fe 2.56, 8 N 2.71
Ta 0.0000 0.0000 0.0000  4 Fe 2.56, 8 N 2.71
Fe 0.3819 0.8819 0.0000  2 N 1.74
Fe 0.1181 0.3819 0.0000  2 N 1.74
Fe 0.6181 0.1181 0.0000  2 N 1.74
Fe 0.8819 0.6181 0.0000  2 N 1.74

Output
SG   P4/mbm (127)
E above lowest polymorph   275 kJ/mol of formula units
Total DFT energy (no corrections)   -8.36 eV/atom